[1]
The following is a DFT calculation (PBE) of a relaxed La12Pr2Nd5 crystal.

Cell: 18.4940 11.9968 6.3901 Å, 90.00 102.64 90.00°
Closest atoms and distances in Å follow each position.
Space group C2/m (No. 12)
Inequivalent atoms, fractional coordinates:
La1 0.0539 0.0000 0.2708  6 La 3.60-4.01, 2 Pr 3.67, 2 Nd 3.91-3.95
La2 0.1050 0.2457 0.6211  1 Pr 3.43, 3 Nd 3.46-3.72, 4 La 3.47-3.74
La3 0.1164 0.5000 0.9995  4 Nd 3.44-3.67, 2 Pr 3.53, 2 La 3.57
La4 0.1973 0.2410 0.2033  6 La 3.47-3.87, 3 Nd 3.52-3.81, 1 Pr 3.61
Pr1 0.0000 0.2668 0.0000  8 La 3.43-3.67
Nd1 0.0000 0.5000 0.5000  6 La 3.44-3.61
Nd2 0.1809 0.0000 0.8552  5 La 3.46-3.66, 2 Nd 3.61-3.85
Nd3 0.2127 0.5000 0.5552  8 La 3.52-3.81, 3 Nd 3.61-3.87

Values from the calculation:
Its density of states at the Fermi level is 1.52 states/eV/atom. The value obtained for the formation energy is 0.075 eV/atom.



[2]
The following is a DFT calculation (PBE) of a relaxed LaPr6Nd crystal.

Cell: 5.2511 5.2511 10.5087 Å, 90.00 90.00 90.00°
Closest atoms and distances in Å follow each position.
Space group P4/mmm (No. 123)
Inequivalent atoms, fractional coordinates:
La1 0.0000 0.0000 0.0000  12 Pr 3.71-3.72
Pr1 0.0000 0.5000 0.2514  8 Pr 3.70-3.72, 2 Nd 3.70, 2 La 3.72
Pr2 0.5000 0.5000 0.0000  4 La 3.71, 8 Pr 3.72
Pr3 0.5000 0.5000 0.5000  8 Pr 3.70, 4 Nd 3.71
Nd1 0.0000 0.0000 0.5000  12 Pr 3.70-3.71

Values from the calculation:
Its density of states at the Fermi level is 1.75 states/eV/atom. As for the energy above the lowest structure with this stoichiometry: 0.0 kJ/mol of atoms. The value obtained for the formation energy is 0.011 eV/atom.



[3]
The following is a DFT calculation (PBE) of a relaxed LaPr4Nd3 crystal.

Cell: 10.5067 7.4039 7.4034 Å, 90.00 90.00 90.00°
Closest atoms and distances in Å follow each position.
Space group Pmna (No. 53)
Inequivalent atoms, fractional coordinates:
La1 0.0000 0.0000 0.0000  8 Pr 3.70-3.71, 4 Nd 3.71
Pr1 0.0000 0.0000 0.5000  2 La 3.70, 6 Nd 3.70-3.71, 4 Pr 3.71
Pr2 0.0000 0.5000 0.0000  6 Nd 3.70, 2 La 3.70, 4 Pr 3.70
Pr3 0.2500 0.2511 0.2500  6 Nd 3.69-3.72, 4 Pr 3.70-3.71, 2 La 3.71
Nd1 0.0000 0.5000 0.5000  8 Pr 3.70, 4 Nd 3.70
Nd2 0.2500 0.2511 0.7500  8 Pr 3.69-3.72, 2 Nd 3.70, 2 La 3.71

Values from the calculation:
Its density of states at the Fermi level is 1.68 states/eV/atom. As for the energy above the lowest structure with this stoichiometry: 0.0 kJ/mol of atoms. The value obtained for the formation energy is 0.012 eV/atom.



[4]
The following is a DFT calculation (PBE) of a relaxed La12PrNd3 crystal.

Cell: 5.2486 5.2486 21.0339 Å, 90.00 90.00 90.00°
Closest atoms and distances in Å follow each position.
Space group P4/mmm (No. 123)
Inequivalent atoms, fractional coordinates:
La1 0.0000 0.0000 0.0000  4 Pr 3.71, 8 La 3.72
La2 0.0000 0.0000 0.2502  4 Nd 3.71, 8 La 3.71
La3 0.0000 0.0000 0.5000  4 Nd 3.71, 8 La 3.71
La4 0.0000 0.5000 0.1253  8 La 3.71-3.72, 2 Nd 3.71, 2 Pr 3.72
La5 0.0000 0.5000 0.3751  8 La 3.71, 4 Nd 3.71
Pr1 0.5000 0.5000 0.0000  12 La 3.71-3.72
Nd1 0.5000 0.5000 0.2502  12 La 3.71
Nd2 0.5000 0.5000 0.5000  12 La 3.71

Values from the calculation:
Its density of states at the Fermi level is 1.67 states/eV/atom. The value obtained for the formation energy is 0.004 eV/atom.



[5]
The following is a DFT calculation (PBE) of a relaxed La16Pr7Nd6 crystal.

Cell: 16.2461 16.2461 16.2461 Å, 90.00 90.00 90.00°
Closest atoms and distances in Å follow each position.
Space group Fm-3m (No. 225)
Inequivalent atoms, fractional coordinates:
La1 0.1214 0.1214 0.1214  4 Pr 3.42-3.55, 3 La 3.71
La2 0.1557 0.1557 0.3443  3 Pr 3.33, 3 Nd 3.66, 3 La 3.71
Pr1 0.0000 0.0000 0.0000  8 La 3.42
Pr2 0.0000 0.2500 0.2500  8 La 3.33-3.55
Nd1 0.0000 0.0000 0.2957  8 La 3.66-3.97

Values from the calculation:
Its density of states at the Fermi level is 1.70 states/eV/atom. The value obtained for the formation energy is 0.182 eV/atom.



[6]
The following is a DFT calculation (PBE) of a relaxed La5Pr3Nd4 crystal.

Cell: 6.4355 7.4092 9.1165 Å, 90.26 90.06 90.13°
Closest atoms and distances in Å follow each position.
Space group P-1 (No. 2)
Inequivalent atoms, fractional coordinates:
La1 0.0000 0.0000 0.0000  4 Pr 3.70-3.73, 4 La 3.71, 4 Nd 3.71-3.73
La2 0.3334 0.4999 0.3339  5 Nd 3.70-3.72, 3 La 3.71-3.73, 4 Pr 3.71-3.72
La3 0.5002 0.2492 0.0003  6 La 3.69-3.73, 3 Pr 3.71-3.73, 3 Nd 3.72
Pr1 0.0000 0.5000 0.0000  8 La 3.70-3.72, 2 Pr 3.72, 2 Nd 3.74
Pr2 0.1669 0.2491 0.6659  6 Nd 3.69-3.72, 5 La 3.71-3.73, 1 Pr 3.72
Nd1 0.1670 0.7513 0.6658  4 Pr 3.69-3.74, 3 Nd 3.70-3.72, 5 La 3.71-3.72
Nd2 0.3345 0.0002 0.3344  4 Nd 3.69-3.72, 3 Pr 3.70-3.71, 5 La 3.70-3.73

Values from the calculation:
Its density of states at the Fermi level is 1.83 states/eV/atom. The value obtained for the formation energy is 0.013 eV/atom.



[7]
The following is a DFT calculation (PBE) of a relaxed La3PrNd crystal.

Cell: 7.8661 13.8093 6.8521 Å, 90.00 90.00 90.00°
Closest atoms and distances in Å follow each position.
Space group Cmcm (No. 63)
Inequivalent atoms, fractional coordinates:
La1 0.0000 0.0000 0.0000  6 La 3.18-3.43, 2 Pr 3.23
La2 0.2070 0.4009 0.2500  3 La 3.18-3.26, 1 Pr 3.24
Pr1 0.0000 0.1981 0.2500  4 La 3.23-3.24
Nd1 0.0000 0.3323 0.7500  4 Pr 3.90-3.96, 8 La 3.91-4.03

Values from the calculation:
Its density of states at the Fermi level is 1.12 states/eV/atom. As for the energy above the lowest structure with this stoichiometry: 13.9 kJ/mol of atoms. The value obtained for the formation energy is 0.264 eV/atom.



[8]
The following is a DFT calculation (PBE) of a relaxed La12PrNd7 crystal.

Cell: 13.9717 13.9717 12.7800 Å, 90.00 90.00 120.00°
Closest atoms and distances in Å follow each position.
Space group R-3m (No. 166, hexagonal axes)
Inequivalent atoms, fractional coordinates:
La1 0.0000 0.2591 0.0000  4 Nd 3.57-3.67, 6 La 3.62-3.70, 1 Pr 3.62
La2 0.0442 0.5221 0.1136  1 La 3.09
Pr1 0.0000 0.0000 0.0000  6 La 3.62, 6 Nd 3.70
Nd1 0.0000 0.0000 0.5000  6 La 3.56, 6 Nd 3.97
Nd2 0.0874 0.1748 0.7629  6 La 3.57-3.97, 3 Nd 3.66-3.97, 1 Pr 3.70

Values from the calculation:
Its density of states at the Fermi level is 1.48 states/eV/atom. As for the energy above the lowest structure with this stoichiometry: 0.0 kJ/mol of atoms. The value obtained for the formation energy is 0.072 eV/atom.



[9]
The following is a DFT calculation (PBE) of a relaxed LaPr4Nd crystal.

Cell: 5.8947 5.8947 7.1964 Å, 90.00 90.00 120.00°
Closest atoms and distances in Å follow each position.
Space group P6/mmm (No. 191)
Inequivalent atoms, fractional coordinates:
La1 0.0000 0.0000 0.0000  2 Nd 3.60, 12 Pr 3.86
Pr1 0.3333 0.6667 0.2529  5 Pr 3.40-3.64
Nd1 0.0000 0.0000 0.5000  2 La 3.60, 12 Pr 3.84

Values from the calculation:
Its density of states at the Fermi level is 1.47 states/eV/atom. As for the energy above the lowest structure with this stoichiometry: 2.9 kJ/mol of atoms. The value obtained for the formation energy is 0.045 eV/atom.



[10]
The following is a DFT calculation (PBE) of a relaxed LaPr5Nd7 crystal.

Cell: 6.9072 11.4817 12.0492 Å, 90.00 90.00 90.00°
Closest atoms and distances in Å follow each position.
Space group Imm2 (No. 44)
Inequivalent atoms, fractional coordinates:
La1 0.0000 0.0000 0.0000  7 Nd 3.69-4.00, 4 Pr 3.88
Pr1 0.0000 0.5000 0.2699  4 Pr 3.26, 2 Nd 3.36
Pr2 0.2311 0.2304 0.8054  2 Pr 3.19-3.26, 3 Nd 3.49-3.52
Nd1 0.0000 0.0000 0.3061  3 Nd 3.46-3.63, 4 Pr 3.61, 1 La 3.69
Nd2 0.0000 0.0000 0.6073  3 Nd 3.63-3.87, 6 Pr 3.90-3.97
Nd3 0.0000 0.3239 0.0470  5 Pr 3.36-3.68, 1 Nd 3.73, 1 La 3.76
Nd4 0.0000 0.3313 0.5464  5 Nd 3.49-3.89, 5 Pr 3.52-3.85
Nd5 0.0000 0.5000 0.7873  6 Nd 3.46-3.73, 4 Pr 3.49

Values from the calculation:
Its density of states at the Fermi level is 1.81 states/eV/atom. The value obtained for the formation energy is 0.211 eV/atom.



[11]
The following is a DFT calculation (PBE) of a relaxed La3Pr2Nd7 crystal.

Cell: 6.0529 3.6930 19.5479 Å, 90.00 92.94 90.00°
Closest atoms and distances in Å follow each position.
Space group P2/m (No. 10)
Inequivalent atoms, fractional coordinates:
La1 0.0000 0.0000 0.0000  8 Nd 3.50-3.55, 2 La 3.69
La2 0.2774 0.5000 0.6333  2 La 3.69, 6 Nd 3.80-4.04, 4 Pr 3.81-3.83
Pr1 0.2125 0.0000 0.2942  3 Nd 3.30-3.47, 2 Pr 3.69
Nd1 0.1869 0.5000 0.1439  2 Pr 3.47, 7 Nd 3.47-3.69, 2 La 3.50
Nd2 0.2440 0.0000 0.4632  1 Pr 3.30, 4 Nd 3.35-3.69
Nd3 0.3107 0.0000 0.8253  8 Nd 3.58-4.00, 2 Pr 3.80-3.84, 1 La 3.98
Nd4 0.5000 0.5000 0.0000  4 Nd 3.47-3.69, 4 La 3.55

Values from the calculation:
Its density of states at the Fermi level is 1.43 states/eV/atom. As for the energy above the lowest structure with this stoichiometry: 0.0 kJ/mol of atoms. The value obtained for the formation energy is 0.073 eV/atom.



[12]
The following is a DFT calculation (PBE) of a relaxed La7Pr3Nd crystal.

Cell: 7.3849 7.3849 8.8514 Å, 90.00 90.00 120.00°
Closest atoms and distances in Å follow each position.
Space group P3m1 (No. 156)
Inequivalent atoms, fractional coordinates:
La1 0.0000 0.0000 0.0000  9 La 3.62-3.70, 3 Pr 3.71
La2 0.0024 0.5012 0.0159  2 Pr 3.60, 1 Nd 3.63, 8 La 3.67-3.72
La3 0.1677 0.3354 0.6709  2 Pr 3.60, 7 La 3.62-3.72, 2 Nd 3.69
Pr1 0.3330 0.1665 0.3430  5 La 3.60-3.71, 4 Pr 3.69-3.70, 1 Nd 3.71
Nd1 0.6667 0.3333 0.6854  9 La 3.63-3.69, 3 Pr 3.71

Values from the calculation:
Its density of states at the Fermi level is 1.59 states/eV/atom. As for the energy above the lowest structure with this stoichiometry: 3.9 kJ/mol of atoms. The value obtained for the formation energy is 0.151 eV/atom.



[13]
The following is a DFT calculation (PBE) of a relaxed La6PrNd4 crystal.

Cell: 6.0828 9.9291 26.4538 Å, 90.00 90.00 90.00°
Closest atoms and distances in Å follow each position.
Space group Cmcm (No. 63)
Inequivalent atoms, fractional coordinates:
La1 0.0000 0.0000 0.0000  8 Nd 3.32-3.69
La2 0.0000 0.0612 0.2500  2 Nd 3.34, 3 Pr 3.40-3.42, 2 La 3.70
La3 0.0000 0.2934 0.6016  6 Nd 3.44-3.82, 1 La 3.82
La4 0.0000 0.3871 0.1824  5 La 3.58-3.93, 4 Nd 3.64-3.81, 3 Pr 3.75-3.90
Pr1 0.0000 0.2812 0.7500  5 La 3.40-3.75
Nd1 0.0000 0.0560 0.1237  6 La 3.32-3.64, 1 Nd 3.61
Nd2 0.0000 0.3527 0.0445  8 La 3.57-3.91, 2 Nd 3.61-3.76

Values from the calculation:
Its density of states at the Fermi level is 1.66 states/eV/atom. As for the energy above the lowest structure with this stoichiometry: 0.0 kJ/mol of atoms. The value obtained for the formation energy is 0.087 eV/atom.



[14]
The following is a DFT calculation (PBE) of a relaxed La4Pr3Nd4 crystal.

Cell: 11.0991 5.8978 12.3180 Å, 90.00 90.00 90.00°
Closest atoms and distances in Å follow each position.
Space group Amm2 (No. 38)
Inequivalent atoms, fractional coordinates:
La1 0.0000 0.0000 0.0000  3 Nd 3.42-3.60, 2 Pr 3.60, 4 La 3.80
La2 0.2121 0.0000 0.4638  4 Nd 3.29-3.68
La3 0.5000 0.0000 0.9217  4 Nd 3.17-3.44
Pr1 0.1924 0.0000 0.7650  4 Nd 3.57-3.64, 5 La 3.60-3.92, 1 Pr 3.82
Pr2 0.5000 0.0000 0.6268  5 La 3.63-3.88, 7 Nd 3.69-3.84, 2 Pr 3.82
Nd1 0.0000 0.0000 0.2772  3 La 3.29-3.42, 4 Pr 3.64
Nd2 0.2911 0.0000 0.1283  2 Nd 3.37-3.72, 4 La 3.44-3.68, 4 Pr 3.57-3.75
Nd3 0.5000 0.0000 0.3269  2 La 3.17, 2 Nd 3.37

Values from the calculation:
Its density of states at the Fermi level is 1.82 states/eV/atom. As for the energy above the lowest structure with this stoichiometry: 0.8 kJ/mol of atoms. The value obtained for the formation energy is 0.127 eV/atom.



[15]
The following is a DFT calculation (PBE) of a relaxed La5PrNd4 crystal.

Cell: 29.1198 3.5609 7.0495 Å, 90.00 97.32 90.00°
Closest atoms and distances in Å follow each position.
Space group C2/m (No. 12)
Inequivalent atoms, fractional coordinates:
La1 0.0000 0.0000 0.0000  2 Pr 3.52, 2 La 3.56, 6 Nd 3.58-3.71
La2 0.2009 0.5000 0.0927  8 La 3.45-3.74, 3 Nd 3.51-3.73
La3 0.2054 0.5000 0.6055  8 La 3.45-3.70, 3 Nd 3.66-3.76
Pr1 0.0000 0.0000 0.5000  2 La 3.52, 2 Pr 3.56, 6 Nd 3.56-3.70
Nd1 0.0945 0.5000 0.7976  4 La 3.51-3.71, 2 Nd 3.56, 2 Pr 3.70
Nd2 0.1075 0.0000 0.3085  4 Nd 3.56-3.94, 1 Pr 3.56, 5 La 3.58-3.76

Values from the calculation:
Its density of states at the Fermi level is 1.90 states/eV/atom. As for the energy above the lowest structure with this stoichiometry: 0.0 kJ/mol of atoms. The value obtained for the formation energy is 0.128 eV/atom.



[16]
The following is a DFT calculation (PBE) of a relaxed La2Pr6Nd5 crystal.

Cell: 12.0816 21.1820 3.7110 Å, 90.00 90.00 90.00°
Closest atoms and distances in Å follow each position.
Space group Pbam (No. 55)
Inequivalent atoms, fractional coordinates:
La1 0.1743 0.2188 0.0000  3 Pr 3.48-3.75, 4 Nd 3.63-3.70, 2 La 3.71
Pr1 0.0622 0.9248 0.0000  5 Pr 3.52-3.78, 6 Nd 3.59-3.75
Pr2 0.0761 0.6365 0.0000  1 La 3.48, 6 Nd 3.56-3.69, 4 Pr 3.63-3.71
Pr3 0.1815 0.3727 0.5000  2 Nd 3.44-3.48, 6 Pr 3.63-3.78, 2 La 3.75
Nd1 0.0000 0.5000 0.5000  6 Pr 3.48-3.56, 4 Nd 3.71-3.82
Nd2 0.0841 0.7805 0.5000  5 Pr 3.44-3.59, 4 La 3.63-3.70, 2 Nd 3.71
Nd3 0.2001 0.0570 0.5000  6 Pr 3.69-3.75, 3 Nd 3.71-3.82, 2 La 3.91

Values from the calculation:
Its density of states at the Fermi level is 1.30 states/eV/atom. The value obtained for the formation energy is 0.085 eV/atom.



[17]
The following is a DFT calculation (PBE) of a relaxed LaPr12Nd7 crystal.

Cell: 17.4847 17.4847 8.3345 Å, 90.00 90.00 120.00°
Closest atoms and distances in Å follow each position.
Space group R-3m (No. 166, hexagonal axes)
Inequivalent atoms, fractional coordinates:
La1 0.0000 0.0000 0.0000  8 Nd 3.78-4.17, 6 Pr 3.82
Pr1 0.0000 0.2862 0.5000  4 Pr 3.12-3.45
Pr2 0.1059 0.2118 0.2483  3 Nd 3.38-3.61, 4 Pr 3.45-3.64
Nd1 0.0000 0.0000 0.5000  6 Pr 3.83, 2 La 4.17
Nd2 0.1051 0.5526 0.4828  1 Nd 3.20, 2 Pr 3.38

Values from the calculation:
Its density of states at the Fermi level is 1.57 states/eV/atom. As for the energy above the lowest structure with this stoichiometry: 0.0 kJ/mol of atoms. The value obtained for the formation energy is 0.196 eV/atom.



[18]
The following is a DFT calculation (PBE) of a relaxed La2Pr5Nd12 crystal.

Cell: 16.2305 9.4623 8.9730 Å, 90.00 92.93 90.00°
Closest atoms and distances in Å follow each position.
Space group C2/m (No. 12)
Inequivalent atoms, fractional coordinates:
La1 0.0000 0.1672 0.0000  1 La 3.16, 4 Nd 3.46-3.53
Pr1 0.0000 0.5000 0.5000  10 Nd 3.52-3.90, 2 Pr 3.80
Pr2 0.2145 0.0000 0.0382  8 Nd 3.56-3.86, 1 Pr 3.61, 2 La 3.82
Pr3 0.2331 0.5000 0.5661  7 Nd 3.44-3.71, 2 Pr 3.61-3.80
Nd1 0.0578 0.0000 0.3466  7 Nd 3.41-3.70, 1 Pr 3.44, 2 La 3.57
Nd2 0.0689 0.5000 0.8784  3 Nd 3.20-3.54, 2 Pr 3.52-3.56, 2 La 3.53
Nd3 0.1323 0.1965 0.6835  4 Pr 3.49-3.90, 5 Nd 3.54-3.72, 1 La 3.66
Nd4 0.1468 0.3202 0.2426  3 Nd 3.40-3.62, 1 La 3.46, 3 Pr 3.59-3.80

Values from the calculation:
Its density of states at the Fermi level is 1.35 states/eV/atom. As for the energy above the lowest structure with this stoichiometry: 0.9 kJ/mol of atoms. The value obtained for the formation energy is 0.117 eV/atom.